# Re2Ag, relaxed, DFT PBE-GGA
data_Re2Ag
_chemical_formula_sum 'Re8 Ag4'
_cell_length_a 6.335
_cell_length_b 6.335
_cell_length_c 4.934
_cell_angle_alpha 90.00
_cell_angle_beta 90.00
_cell_angle_gamma 90.00
_space_group_name_H-M_alt 'I 4/m c m'
_space_group_IT_number 140
_space_group_name_Hall '-I 4 2c'
loop_
_atom_site_label
_atom_site_type_symbol
_atom_site_fract_x
_atom_site_fract_y
_atom_site_fract_z
Re1 Re 0.131 0.369 0.000
Ag1 Ag 0.000 0.000 0.250
# VASP energy (eV per atom): -8.2159
# Energy relative to the elements (eV per atom): 1.03
# Excess energy over the best structure of this formula in the dataset (meV per atom): 723.9

=====

# AcNdEuMg, relaxed, DFT PBE-GGA
data_AcNdEuMg
_chemical_formula_sum 'Ac4 Nd4 Eu4 Mg4'
_cell_length_a 8.336
_cell_length_b 8.336
_cell_length_c 8.336
_cell_angle_alpha 90.00
_cell_angle_beta 90.00
_cell_angle_gamma 90.00
_space_group_name_H-M_alt 'F -4 3 m'
_space_group_IT_number 216
_space_group_name_Hall 'F -4 2 3'
loop_
_atom_site_label
_atom_site_type_symbol
_atom_site_fract_x
_atom_site_fract_y
_atom_site_fract_z
Ac1 Ac 0.000 0.000 0.000
Nd1 Nd 0.250 0.250 0.250
Eu1 Eu 0.250 0.250 0.750
Mg1 Mg 0.000 0.000 0.500
# VASP energy (eV per atom): -5.0831
# Energy relative to the elements (eV per atom): 0.10

=====

# Ac8Os3Au, relaxed, DFT PBE-GGA
data_Ac8Os3Au
_chemical_formula_sum 'Ac16 Os6 Au2'
_cell_length_a 18.485
_cell_length_b 6.014
_cell_length_c 9.725
_cell_angle_alpha 90.00
_cell_angle_beta 108.50
_cell_angle_gamma 90.00
_space_group_name_H-M_alt 'C 1 m 1'
_space_group_IT_number 8
_space_group_name_Hall 'C -2y'
loop_
_atom_site_label
_atom_site_type_symbol
_atom_site_fract_x
_atom_site_fract_y
_atom_site_fract_z
Ac1 Ac 0.000 0.000 0.000
Ac2 Ac 0.034 0.500 0.306
Ac3 Ac 0.110 0.000 0.627
Ac4 Ac 0.218 0.000 0.335
Ac5 Ac 0.276 0.500 0.674
Ac6 Ac 0.318 0.000 0.990
Ac7 Ac 0.387 0.500 0.307
Ac8 Ac 0.422 0.000 0.633
Os1 Os 0.056 0.000 0.297
Os2 Os 0.270 0.000 0.678
Os3 Os 0.366 0.000 0.293
Au1 Au 0.447 0.500 0.661
# VASP energy (eV per atom): -5.8826
# Energy relative to the elements (eV per atom): -0.06

=====

# Hg4Pb2Au, relaxed, DFT PBE-GGA
data_Hg4Pb2Au
_chemical_formula_sum 'Hg8 Pb4 Au2'
_cell_length_a 5.389
_cell_length_b 5.389
_cell_length_c 15.301
_cell_angle_alpha 90.00
_cell_angle_beta 90.00
_cell_angle_gamma 90.00
_space_group_name_H-M_alt 'I 4/m m m'
_space_group_IT_number 139
_space_group_name_Hall '-I 4 2'
loop_
_atom_site_label
_atom_site_type_symbol
_atom_site_fract_x
_atom_site_fract_y
_atom_site_fract_z
Hg1 Hg 0.000 0.000 0.186
Hg2 Hg 0.000 0.500 0.000
Pb1 Pb 0.000 0.000 0.381
Au1 Au 0.000 0.000 0.000
# VASP energy (eV per atom): -1.5303
# Energy relative to the elements (eV per atom): 0.17

=====

# LaZnB, relaxed, DFT PBE-GGA
data_LaZnB
_chemical_formula_sum 'La2 Zn2 B2'
_cell_length_a 4.194
_cell_length_b 4.194
_cell_length_c 6.731
_cell_angle_alpha 90.00
_cell_angle_beta 90.00
_cell_angle_gamma 90.00
_space_group_name_H-M_alt 'P 4/n m m'
_space_group_IT_number 129
loop_
_space_group_symop_operation_xyz
'x,y,z'
'-x,-y,-z'
'-y+1/2,x,z'
'y+1/2,-x,-z'
'-x+1/2,-y+1/2,z'
'x+1/2,y+1/2,-z'
'y,-x+1/2,z'
'-y,x+1/2,-z'
'x+1/2,-y,-z'
'-x+1/2,y,z'
'-y,-x,-z'
'y,x,z'
'-x,y+1/2,-z'
'x,-y+1/2,z'
'y+1/2,x+1/2,-z'
'-y+1/2,-x+1/2,z'
loop_
_atom_site_label
_atom_site_type_symbol
_atom_site_fract_x
_atom_site_fract_y
_atom_site_fract_z
La1 La 0.250 0.250 0.222
Zn1 Zn 0.250 0.250 0.669
B1 B 0.250 0.750 0.500
# VASP energy (eV per atom): -4.2313
# Energy relative to the elements (eV per atom): 0.06
# Excess energy over the best structure of this formula in the dataset (meV per atom): 364.9

=====

# RuRhC, relaxed, DFT PBE-GGA
data_RuRhC
_chemical_formula_sum 'Ru2 Rh2 C2'
_cell_length_a 2.776
_cell_length_b 2.748
_cell_length_c 9.062
_cell_angle_alpha 90.00
_cell_angle_beta 90.00
_cell_angle_gamma 90.00
_space_group_name_H-M_alt 'A m m 2'
_space_group_IT_number 38
_space_group_name_Hall 'A 2 -2'
loop_
_atom_site_label
_atom_site_type_symbol
_atom_site_fract_x
_atom_site_fract_y
_atom_site_fract_z
Ru1 Ru 0.000 0.000 0.000
Rh1 Rh 0.500 0.000 0.269
C1 C 0.500 0.000 0.593
# VASP energy (eV per atom): -8.2527
# Energy relative to the elements (eV per atom): 0.36
# Excess energy over the best structure of this formula in the dataset (meV per atom): 40.2

=====

# La8ZnGa3Br4, relaxed, DFT PBE-GGA
data_La8ZnGa3Br4
_chemical_formula_sum 'La24 Zn3 Ga9 Br12'
_cell_length_a 8.8525
_cell_length_b 8.8525
_cell_length_c 21.6873
_cell_angle_alpha 90.00
_cell_angle_beta 90.00
_cell_angle_gamma 120.00
_space_group_name_H-M_alt 'R -3 m'
_space_group_IT_number 166
_space_group_name_Hall '-R 3 2"'
loop_
_atom_site_label
_atom_site_type_symbol
_atom_site_fract_x
_atom_site_fract_y
_atom_site_fract_z
La1 La 0.0000 0.0000 0.2444
La2 La 0.0039 0.5019 0.7543
Zn1 Zn 0.0000 0.0000 0.5000
Ga1 Ga 0.0000 0.5000 0.5000
Br1 Br 0.0000 0.0000 0.0000
Br2 Br 0.0000 0.5000 0.0000
# VASP energy (eV per atom): -4.4323
# ΔE_f (raw) (eV/atom): -0.903

=====

VASP energy of number 2 (AcNdEuMg)? -5.0831 eV per atom